# 1
# AgIr2Ru (PBEsol, optimized geometry)
data_AgIr2Ru
_symmetry_space_group_name_H-M 'P 4/m m m'
_symmetry_Int_Tables_number 123
_symmetry_space_group_name_Hall '-P 4 2'
_cell_length_a 2.714
_cell_length_b 2.714
_cell_length_c 7.843
_cell_angle_alpha 90.00
_cell_angle_beta 90.00
_cell_angle_gamma 90.00
loop_
_atom_site_label
_atom_site_type_symbol
_atom_site_fract_x
_atom_site_fract_y
_atom_site_fract_z
Ag1 Ag 0.000 0.000 0.000
Ir1 Ir 0.500 0.500 0.269
Ru1 Ru 0.000 0.000 0.500
# Relative energy among the computed polymorphs   0 kJ/mol of formula units
# DFT formation energy   0.175 eV per atom
# Final energy   -0.29795 Ha/atom
# Density of states at the Fermi level   0.862 states/eV/atom

***

# 2
# AgIr2Ru (PBEsol, optimized geometry)
data_AgIr2Ru
_symmetry_space_group_name_H-M 'C m m m'
_symmetry_Int_Tables_number 65
_symmetry_space_group_name_Hall '-C 2 2'
_cell_length_a 2.707
_cell_length_b 4.642
_cell_length_c 9.378
_cell_angle_alpha 90.00
_cell_angle_beta 90.00
_cell_angle_gamma 90.00
loop_
_atom_site_label
_atom_site_type_symbol
_atom_site_fract_x
_atom_site_fract_y
_atom_site_fract_z
Ag1 Ag 0.000 0.000 0.000
Ir1 Ir 0.000 0.500 0.262
Ru1 Ru 0.000 0.000 0.500
# Relative energy among the computed polymorphs   91 kJ/mol of formula units
# DFT formation energy   0.410 eV per atom
# Final energy   -0.28932 Ha/atom
# Density of states at the Fermi level   1.476 states/eV/atom

***

# 3
# Ag2IrRu (PBEsol, optimized geometry)
data_Ag2IrRu
_symmetry_space_group_name_H-M 'R 3 m'
_symmetry_Int_Tables_number 160
_symmetry_space_group_name_Hall 'R 3 -2"'
_cell_length_a 2.7385
_cell_length_b 2.7385
_cell_length_c 27.7017
_cell_angle_alpha 90.00
_cell_angle_beta 90.00
_cell_angle_gamma 120.00
loop_
_atom_site_label
_atom_site_type_symbol
_atom_site_fract_x
_atom_site_fract_y
_atom_site_fract_z
Ag1 Ag 0.0000 0.0000 0.0000
Ag2 Ag 0.0000 0.0000 0.2462
Ir1 Ir 0.0000 0.0000 0.7533
Ru1 Ru 0.0000 0.0000 0.4940
# Relative energy among the computed polymorphs   0 kJ/mol of formula units
# DFT formation energy   0.199 eV per atom
# Final energy   -0.23724 Ha/atom
# Density of states at the Fermi level   0.714 states/eV/atom

***

- What is the DFT formation energy in the first record?
  0.175 eV per atom